The following is a DFT calculation (PBE-GGA) of an optimized crystal structure of PrSn2PtAu.

Properties
* M_tot: 0.0 μB per formula unit
* space-group type: No. 129
* uncorrected energy: -5.167 eV/atom
* mass density: 10912 kg/m³

```
PrSn2PtAu
1.0
4.639 0.000 0.000
0.000 4.639 0.000
0.000 0.000 10.894
Pt Sn Pr Au
2 4 2 2
direct
0.500 0.000 0.377 Pt
0.000 0.500 0.623 Pt
0.000 0.000 0.500 Sn
0.500 0.500 0.500 Sn
0.500 0.000 0.139 Sn
0.000 0.500 0.861 Sn
0.500 0.000 0.749 Pr
0.000 0.500 0.251 Pr
0.000 0.000 0.000 Au
0.500 0.500 0.000 Au
```